Record 1
Here is a geometry-optimized SmPuTh2 structure from the Alexandria database. Energies are from PBE.

a = 11.6539 Å, b = 11.6539 Å, c = 11.6539 Å
α = 17.52°, β = 17.52°, γ = 17.52°
With the nearest neighbours (Å) after each atom.
Sites, in units of the cell vectors:
Sm (0.0000, 0.0000, 0.0000)  6 Sm 3.55, 6 Th 3.58-3.66
Pu (0.8301, 0.8301, 0.8301)  6 Th 3.39-3.49, 6 Pu 3.55
Th (0.2453, 0.2453, 0.2453)  3 Pu 3.49, 6 Th 3.55, 3 Sm 3.66
Th (0.4185, 0.4185, 0.4185)  3 Pu 3.39, 6 Th 3.55, 3 Sm 3.58

Record 2
Here is a geometry-optimized SmPuTh2 structure from the Alexandria database. Energies are from PBE.

a = 5.0521 Å, b = 5.0521 Å, c = 4.8197 Å
α = 90.00°, β = 90.00°, γ = 90.00°
With the nearest neighbours (Å) after each atom.
Sites, in units of the cell vectors:
Sm (0.0000, 0.0000, 0.0000)  8 Th 3.49, 4 Pu 3.57
Pu (0.5000, 0.5000, 0.0000)  8 Th 3.49, 4 Sm 3.57
Th (0.0000, 0.5000, 0.5000)  4 Sm 3.49, 4 Pu 3.49, 4 Th 3.57
Th (0.5000, 0.0000, 0.5000)  4 Sm 3.49, 4 Pu 3.49, 4 Th 3.57

Record 3
Here is a geometry-optimized SmPuTh2 structure from the Alexandria database. Energies are from PBE.

a = 5.5817 Å, b = 5.5817 Å, c = 5.5817 Å
α = 60.00°, β = 60.00°, γ = 60.00°
With the nearest neighbours (Å) after each atom.
Sites, in units of the cell vectors:
Sm (0.0000, 0.0000, 0.0000)  8 Th 3.42
Pu (0.5000, 0.5000, 0.5000)  8 Th 3.42
Th (0.2500, 0.2500, 0.2500)  4 Pu 3.42, 4 Sm 3.42
Th (0.7500, 0.7500, 0.7500)  4 Sm 3.42, 4 Pu 3.42

Record 4
Here is a geometry-optimized Sm2PuTh structure from the Alexandria database. Energies are from PBE.

a = 4.9155 Å, b = 4.9155 Å, c = 5.1673 Å
α = 90.00°, β = 90.00°, γ = 90.00°
With the nearest neighbours (Å) after each atom.
Sites, in units of the cell vectors:
Sm (0.0000, 0.5000, 0.0000)  4 Sm 3.48, 4 Pu 3.57, 4 Th 3.57
Sm (0.5000, 0.0000, 0.0000)  4 Sm 3.48, 4 Pu 3.57, 4 Th 3.57
Pu (0.0000, 0.0000, 0.5000)  4 Th 3.48, 8 Sm 3.57
Th (0.5000, 0.5000, 0.5000)  4 Pu 3.48, 8 Sm 3.57

Formation energy readings, ordered: 11.96, 11.51, 20.45, 13.80 kJ/mol of atoms